# ScTaSe2 (PBE, relaxed)
# - uncorrected energy (eV for the cell shown) = -113.1
# - energy above the most stable polymorph in this dataset (eV/f.u.) = 0.48
# - ΔE_f (raw) (eV/f.u.) = -3.12
data_ScTaSe2
_chemical_formula_sum 'Sc4 Ta4 Se8'
_cell_length_a 6.558
_cell_length_b 6.558
_cell_length_c 6.558
_cell_angle_alpha 90.00
_cell_angle_beta 90.00
_cell_angle_gamma 90.00
_space_group_name_H-M_alt 'F m -3 m'
_space_group_IT_number 225
_space_group_name_Hall '-F 4 2 3'
loop_
_atom_site_label
_atom_site_fract_x
_atom_site_fract_y
_atom_site_fract_z
Sc1 0.000 0.000 0.000
Ta1 0.000 0.000 0.500
Se1 0.250 0.250 0.250